The following is a DFT calculation (PBE-GGA) of a relaxed structure of LaCoBr2. Values from VASP.

The structure in Quantum ESPRESSO input format:
```
&SYSTEM
  ibrav = 0, nat = 4, ntyp = 3
/
ATOMIC_SPECIES
Br 79.90 Br.upf
Co 58.93 Co.upf
La 138.91 La.upf
ATOMIC_POSITIONS angstrom
Br -1.648 -11.459 3.556
Br -1.149 -7.986 2.478
Co -1.112 -2.470 3.190
La 1.311 -3.324 1.561
CELL_PARAMETERS angstrom
-3.355 -5.628 3.640
1.491 -7.336 0.382
2.063 7.169 0.728
```

DOS at the Fermi energy in states/eV/atom: 0.429
Space group: No. 71
Energy relative to the elements, uncorrected in eV per atom: -0.687

=====

The following is a DFT calculation (PBE-GGA) of a relaxed structure of Th2Co4P3Ru. Values from VASP.

The structure in Quantum ESPRESSO input format:
```
&SYSTEM
  ibrav = 0, nat = 10, ntyp = 4
/
ATOMIC_SPECIES
Th 232.04 Th.upf
Co 58.93 Co.upf
P 30.97 P.upf
Ru 101.07 Ru.upf
ATOMIC_POSITIONS angstrom
Th 0.156 -1.883 2.381
Th 1.862 -7.187 1.164
Co -2.426 -1.017 1.031
Co 0.000 0.000 0.000
Co 1.886 -5.018 3.360
Co 0.132 -4.052 0.185
P 2.222 -4.027 1.257
P 2.972 -6.986 3.974
P -0.954 -2.084 -0.429
Ru -0.204 -5.043 2.288
CELL_PARAMETERS angstrom
-1.823 0.103 3.553
-3.028 -2.137 -1.492
4.444 -8.053 2.514
```

DOS at the Fermi energy in states/eV/atom: 0.632
Space group: No. 115
Energy of formation from the pure elements in eV/atom: -0.81

=====

Quick rundown of volume, same order as above: 123, 152 Å³/cell